Material: Be2MoPb
Method: DFT, PBE
State: relaxed

```
Be2MoPb
1.0
1.498 0.865 8.326
-1.498 0.865 8.326
0.000 -1.730 8.326
Be Mo Pb
2 1 1
Direct
0.000 0.000 0.000
0.275 0.275 0.275
0.741 0.741 0.741
0.510 0.510 0.510
```

## Properties
The calculation puts the formation energy at 0.840 eV per atom. The raw total energy comes out at -18.63 eV/cell. As for the crystal system: trigonal.

Material: HoSiRh
Method: DFT, PBE
State: relaxed

```
HoSiRh
1.0
4.186 0.000 0.000
-2.093 3.625 0.000
0.000 0.000 3.756
Ho Si Rh
1 1 1
Direct
0.000 0.000 0.000
0.333 0.667 0.500
0.667 0.333 0.500
```

## Properties
The raw total energy comes out at -20.20 eV/cell. As for the crystal system: hexagonal. The uncorrected formation energy is -0.948 eV/atom.

Material: CaIn
Method: DFT, PBE
State: relaxed

```
CaIn
1.0
6.065 -1.828 0.000
6.065 1.828 0.000
-1.807 0.000 5.343
Ca In
2 2
Direct
0.104 0.104 0.324
0.896 0.896 0.676
0.351 0.351 0.152
0.649 0.649 0.848
```

## Properties
The calculation puts the formation energy at -0.387 eV per atom. The raw total energy comes out at -11.03 eV/cell. As for the crystal system: monoclinic.

Material: PmPrDyAl
Method: DFT, PBE
State: relaxed

```
PmPrDyAl
1.0
0.000 3.862 3.862
3.862 0.000 3.862
3.862 3.862 0.000
Pm Pr Dy Al
1 1 1 1
Direct
0.000 0.000 0.000
0.500 0.500 0.500
0.750 0.750 0.750
0.250 0.250 0.250
```

## Properties
The calculation puts the formation energy at -0.055 eV per atom. The raw total energy comes out at -18.09 eV/cell. As for the crystal system: cubic.

Material: Ta2MoH
Method: DFT, PBE
State: relaxed

```
Ta2MoH
1.0
0.000 3.124 3.124
3.124 0.000 3.124
3.124 3.124 0.000
Ta Mo H
2 1 1
Direct
0.250 0.250 0.250
0.750 0.750 0.750
0.000 0.000 0.000
0.500 0.500 0.500
```

## Properties
The raw total energy comes out at -35.10 eV/cell. As for the crystal system: cubic.

Material: BeBiP2Cl
Method: DFT, PBE
State: relaxed

```
BeBiP2Cl
1.0
5.341 0.000 0.000
0.000 5.341 0.000
0.000 0.000 5.296
Be Bi P Cl
1 1 2 1
Direct
0.000 0.000 0.000
0.500 0.500 0.500
0.000 0.500 0.500
0.500 0.000 0.500
0.500 0.500 0.000
```

## Properties
The raw total energy comes out at -13.77 eV/cell. As for the crystal system: tetragonal. The uncorrected formation energy is 1.301 eV/atom.

Material: Tb2SCl
Method: DFT, PBE
State: relaxed

```
Tb2SCl
1.0
1.904 1.099 7.220
-1.904 1.099 7.220
0.000 -2.199 7.220
Tb S Cl
2 1 1
Direct
0.236 0.236 0.236
0.764 0.764 0.764
0.500 0.500 0.500
0.000 0.000 0.000
```

## Properties
The raw total energy comes out at -21.66 eV/cell. As for the crystal system: trigonal. The uncorrected formation energy is -1.606 eV/atom.

Material: Zn2HgPt
Method: DFT, PBE
State: relaxed

```
Zn2HgPt
1.0
1.499 0.865 8.807
-1.499 0.865 8.807
0.000 -1.731 8.807
Zn Hg Pt
2 1 1
Direct
0.000 0.000 0.000
0.256 0.256 0.256
0.757 0.757 0.757
0.515 0.515 0.515
```

## Properties
The calculation puts the formation energy at -0.013 eV per atom. The raw total energy comes out at -8.94 eV/cell. As for the crystal system: trigonal.

Material: AlInBi2B
Method: DFT, PBE
State: relaxed

```
AlInBi2B
1.0
5.540 0.000 0.000
0.000 5.540 0.000
0.000 0.000 3.982
Al In Bi B
1 1 2 1
Direct
0.000 0.000 0.000
0.500 0.500 0.000
0.000 0.500 0.500
0.500 0.000 0.500
0.000 0.000 0.500
```

## Properties
The calculation puts the formation energy at 0.452 eV per atom. The raw total energy comes out at -18.66 eV/cell. As for the crystal system: tetragonal.

Material: Zr3InBi
Method: DFT, PBE
State: relaxed

```
Zr3InBi
1.0
5.382 0.000 0.000
0.000 5.382 0.000
0.000 0.000 5.382
Zr In Bi
3 1 1
Direct
0.000 0.000 0.500
0.000 0.500 0.000
0.500 0.000 0.000
0.500 0.500 0.500
0.000 0.000 0.000
```

## Properties
The calculation puts the formation energy at 0.863 eV per atom. The raw total energy comes out at -27.95 eV/cell. As for the crystal system: cubic.

Material: Li2Ga5Ni2
Method: DFT, PBE
State: relaxed

```
Li2Ga5Ni2
1.0
6.915 -3.236 0.000
6.915 3.236 0.000
0.000 0.000 6.521
Li Ga Ni
4 10 4
Direct
0.216 0.216 0.000
0.284 0.284 0.500
0.716 0.716 0.500
0.784 0.784 0.000
0.000 0.000 0.000
0.036 0.728 0.652
0.228 0.536 0.152
0.272 0.964 0.652
0.464 0.772 0.152
0.500 0.500 0.500
0.536 0.228 0.848
0.728 0.036 0.348
0.772 0.464 0.848
0.964 0.272 0.348
0.144 0.856 0.351
0.356 0.644 0.851
0.644 0.356 0.149
0.856 0.144 0.649
```

## Properties
The calculation puts the formation energy at -0.180 eV per atom. The raw total energy comes out at -64.29 eV/cell. As for the crystal system: orthorhombic.

Material: PaTl2CuSe5
Method: DFT, PBE
State: relaxed

```
PaTl2CuSe5
1.0
2.064 -9.226 0.000
2.064 9.226 0.000
0.000 0.000 13.779
Pa Tl Cu Se
2 4 2 10
Direct
0.201 0.799 0.500
0.799 0.201 0.000
0.068 0.932 0.104
0.106 0.894 0.806
0.894 0.106 0.306
0.932 0.068 0.604
0.413 0.587 0.881
0.587 0.413 0.381
0.053 0.947 0.465
0.282 0.718 0.865
0.305 0.695 0.134
0.355 0.645 0.497
0.476 0.524 0.729
0.524 0.476 0.229
0.645 0.355 0.997
0.695 0.305 0.634
0.718 0.282 0.365
0.947 0.053 0.965
```

## Properties
The raw total energy comes out at -83.78 eV/cell. As for the crystal system: orthorhombic. The uncorrected formation energy is -0.683 eV/atom.